Compound: TaCrAs
Source: Alexandria via LeMat-Bulk
Functional: PBE-GGA
Structure: relaxed

```
TaCrAs
1.0
4.228 0.000 0.000
-2.114 3.662 0.000
0.000 0.000 2.930
As Cr Ta
1 1 1
direct
0.000 0.000 0.178
0.667 0.333 0.206
0.333 0.667 0.616
```

Results
The value obtained for the formation energy is 0.08 eV/f.u. The mass density comes out at 11.270 g/cm3. The calculation puts the density of states at the Fermi level at 2.798 states/eV/f.u. The energy is -26.0 eV for the cell shown.